## SbP4O12 (PBE)

Data for SbP4O12 after structural relaxation.

```
34
Lattice="6.1834 -4.2710 0.0000 6.1834 4.2710 0.0000 -5.4164 0.0000 9.0876" Properties=species:S:1:pos:R:3 pbc="T T T"
Sb 2.1211 3.8244 6.8157
Sb 4.8293 -3.8244 2.2719
P 6.0110 1.9960 0.2019
P 3.6476 1.9960 4.3419
P -0.7852 0.0478 7.4735
P 1.9230 -0.0478 2.9297
P 5.0274 0.0478 6.1579
P 7.7356 -0.0478 1.6141
P 3.3028 -1.9960 4.7457
P 0.9394 -1.9960 8.8857
O 5.2889 3.1756 0.7992
O 0.5303 0.5363 3.2152
O 4.3696 3.1756 3.7446
O -0.4894 0.6934 6.1934
O 2.6684 2.2677 5.4747
O 2.9572 1.1860 3.1713
O 1.5738 2.2677 8.1567
O -2.1779 -0.5363 7.7590
O -0.5324 0.9790 8.7883
O 2.2187 -0.6934 1.6496
O 6.7014 1.1860 1.3725
O 2.1757 -0.9790 4.2445
O 4.7746 0.9790 4.8431
O 0.2490 -1.1860 7.7151
O 4.7316 0.6934 7.4380
O 7.4828 -0.9790 0.2993
O 9.1283 0.5363 1.3286
O 5.3766 -2.2677 0.9309
O 3.9932 -1.1860 5.9163
O 4.2819 -2.2677 3.6129
O 7.4398 -0.6934 2.8942
O 2.5807 -3.1756 5.3430
O 6.4201 -0.5363 5.8724
O 1.6614 -3.1756 8.2884
```

Values from the calculation:
- space group = C2/c, No. 15
- formation energy without anion corrections (eV per atom) = -1.8688
- crystal system = monoclinic
- density (g/cm³) = 3.03